# 1
Compound: Ba2TcAs
Source: the Alexandria database
Functional: GGA-PBEsol
Structure: optimized geometry

Geometry as CIF:
```
data_Ba2TcAs
_chemical_formula_sum 'Ba2 Tc1 As1'
_symmetry_space_group_name_H-M 'P 4 m m'
_symmetry_Int_Tables_number 99
_cell_length_a 3.4237
_cell_length_b 3.4237
_cell_length_c 9.6178
_cell_angle_alpha 90.00
_cell_angle_beta 90.00
_cell_angle_gamma 90.00
loop_
_symmetry_equiv_pos_as_xyz
'x,y,z'
'-y,x,z'
'-x,-y,z'
'y,-x,z'
'-x,y,z'
'y,x,z'
'x,-y,z'
'-y,-x,z'
loop_
_atom_site_label
_atom_site_fract_x
_atom_site_fract_y
_atom_site_fract_z
Ba1 0.0000 0.0000 0.0000
Ba2 0.5000 0.5000 0.4166
Tc1 0.0000 0.0000 0.6615
As1 0.5000 0.5000 0.7595
```

Properties
E_form: 0.5 kcal/mol of atoms

***

# 2
Compound: Fe2SiAs
Source: the Alexandria database
Functional: GGA-PBEsol
Structure: optimized geometry

Geometry as CIF:
```
data_Fe2SiAs
_chemical_formula_sum 'Fe8 Si4 As4'
_symmetry_space_group_name_H-M 'F -4 3 m'
_symmetry_Int_Tables_number 216
_symmetry_space_group_name_Hall 'F -4 2 3'
_cell_length_a 5.8828
_cell_length_b 5.8828
_cell_length_c 5.8828
_cell_angle_alpha 90.00
_cell_angle_beta 90.00
_cell_angle_gamma 90.00
loop_
_atom_site_label
_atom_site_fract_x
_atom_site_fract_y
_atom_site_fract_z
Fe1 0.0000 0.0000 0.0000
Fe2 0.2500 0.2500 0.2500
Si1 0.2500 0.2500 0.7500
As1 0.0000 0.0000 0.5000
```

Properties
final energy: -6.96 eV per atom

***

# 3
Compound: TiPbN2O
Source: the Alexandria database
Functional: GGA-PBEsol
Structure: optimized geometry

Geometry as CIF:
```
data_TiPbN2O
_chemical_formula_sum 'Ti1 Pb1 N2 O1'
_symmetry_space_group_name_H-M 'P 4/m m m'
_symmetry_Int_Tables_number 123
_symmetry_space_group_name_Hall '-P 4 2'
_cell_length_a 4.1611
_cell_length_b 4.1611
_cell_length_c 4.1200
_cell_angle_alpha 90.00
_cell_angle_beta 90.00
_cell_angle_gamma 90.00
loop_
_atom_site_label
_atom_site_fract_x
_atom_site_fract_y
_atom_site_fract_z
Ti1 0.0000 0.0000 0.0000
Pb1 0.5000 0.5000 0.5000
N1 0.0000 0.5000 0.5000
O1 0.5000 0.5000 0.0000
```

Properties
final energy: -5.91 eV per atom

***

# 4
Compound: YFeGeH2
Source: the Alexandria database
Functional: GGA-PBEsol
Structure: optimized geometry

Geometry as CIF:
```
data_YFeGeH2
_chemical_formula_sum 'Y1 Fe1 Ge1 H2'
_symmetry_space_group_name_H-M 'P 4/m m m'
_symmetry_Int_Tables_number 123
_symmetry_space_group_name_Hall '-P 4 2'
_cell_length_a 3.8523
_cell_length_b 3.8523
_cell_length_c 5.0074
_cell_angle_alpha 90.00
_cell_angle_beta 90.00
_cell_angle_gamma 90.00
loop_
_atom_site_label
_atom_site_fract_x
_atom_site_fract_y
_atom_site_fract_z
Y1 0.0000 0.0000 0.0000
Fe1 0.0000 0.0000 0.5000
Ge1 0.5000 0.5000 0.0000
H1 0.0000 0.5000 0.5000
```

Properties
final energy: -4.87 eV per atom

***

# 5
Compound: TlIn3
Source: the Alexandria database
Functional: GGA-PBEsol
Structure: optimized geometry

Geometry as CIF:
```
data_TlIn3
_chemical_formula_sum 'Tl6 In18'
_symmetry_space_group_name_H-M 'P 63/m m c'
_symmetry_Int_Tables_number 194
_symmetry_space_group_name_Hall '-P 6c 2c'
_cell_length_a 6.6542
_cell_length_b 6.6542
_cell_length_c 16.3163
_cell_angle_alpha 90.00
_cell_angle_beta 90.00
_cell_angle_gamma 120.00
loop_
_atom_site_label
_atom_site_fract_x
_atom_site_fract_y
_atom_site_fract_z
Tl1 0.0000 0.0000 0.2500
Tl2 0.3333 0.6667 0.0858
In1 0.0071 0.5035 0.7500
In2 0.1668 0.3337 0.5830
```

Properties
E_form: 0.3 kcal/mol of atoms

***

# 6
Compound: Ga2BiPt2
Source: the Alexandria database
Functional: GGA-PBEsol
Structure: optimized geometry

Geometry as CIF:
```
data_Ga2BiPt2
_chemical_formula_sum 'Ga4 Bi2 Pt4'
_symmetry_space_group_name_H-M 'I 4/m m m'
_symmetry_Int_Tables_number 139
_symmetry_space_group_name_Hall '-I 4 2'
_cell_length_a 4.1915
_cell_length_b 4.1915
_cell_length_c 10.4684
_cell_angle_alpha 90.00
_cell_angle_beta 90.00
_cell_angle_gamma 90.00
loop_
_atom_site_label
_atom_site_fract_x
_atom_site_fract_y
_atom_site_fract_z
Ga1 0.0000 0.0000 0.1174
Bi1 0.0000 0.0000 0.5000
Pt1 0.0000 0.5000 0.2500
```

Properties
E_form: -7.4 kcal/mol of atoms

***

# 7
Compound: YCuAu2
Source: the Alexandria database
Functional: GGA-PBEsol
Structure: optimized geometry

Geometry as CIF:
```
data_YCuAu2
_chemical_formula_sum 'Y1 Cu1 Au2'
_symmetry_space_group_name_H-M 'P 4 m m'
_symmetry_Int_Tables_number 99
_cell_length_a 3.4971
_cell_length_b 3.4971
_cell_length_c 5.9978
_cell_angle_alpha 90.00
_cell_angle_beta 90.00
_cell_angle_gamma 90.00
loop_
_symmetry_equiv_pos_as_xyz
'x,y,z'
'-y,x,z'
'-x,-y,z'
'y,-x,z'
'-x,y,z'
'y,x,z'
'x,-y,z'
'-y,-x,z'
loop_
_atom_site_label
_atom_site_fract_x
_atom_site_fract_y
_atom_site_fract_z
Y1 0.0000 0.0000 0.0000
Cu1 0.5000 0.5000 0.7064
Au1 0.0000 0.0000 0.5231
Au2 0.5000 0.5000 0.2663
```

Properties
E_form: -9.8 kcal/mol of atoms

***

# 8
Compound: SrMoP2O
Source: the Alexandria database
Functional: GGA-PBEsol
Structure: optimized geometry

Geometry as CIF:
```
data_SrMoP2O
_chemical_formula_sum 'Sr1 Mo1 P2 O1'
_symmetry_space_group_name_H-M 'P 4/m m m'
_symmetry_Int_Tables_number 123
_symmetry_space_group_name_Hall '-P 4 2'
_cell_length_a 5.2340
_cell_length_b 5.2340
_cell_length_c 4.0305
_cell_angle_alpha 90.00
_cell_angle_beta 90.00
_cell_angle_gamma 90.00
loop_
_atom_site_label
_atom_site_fract_x
_atom_site_fract_y
_atom_site_fract_z
Sr1 0.0000 0.0000 0.0000
Mo1 0.5000 0.5000 0.5000
P1 0.0000 0.5000 0.0000
O1 0.0000 0.0000 0.5000
```

Properties
final energy: -4.75 eV per atom